No. 1
A geometry-optimized ThMgScCd structure. Source: Alexandria, functional PBE.

The calculation puts the uncorrected energy at -4.171 eV per atom. The spin magnetization comes out at 0.0 μB per cell. For the volume, the calculation gives 102 Å³/f.u. The value obtained for the formation energy is -105 meV per atom. The calculation puts the density of states at the Fermi level at 0.722 states/eV/atom.

The space group is P4mm (No. 99) and the conventional cell measures 3.420, 3.420 and 8.691 Å, with angles of 90.00, 90.00 and 90.00 degrees. The asymmetric unit holds Th at (0.000, 0.000, 0.000), Mg at (0.500, 0.500, 0.296), Sc at (0.500, 0.500, 0.727) and Cd at (0.000, 0.000, 0.507).



No. 2
A geometry-optimized ThMgScCd structure. Source: Alexandria, functional PBE.

The calculation puts the uncorrected energy at -4.114 eV per atom. The spin magnetization comes out at 0.0 μB per cell. For the volume, the calculation gives 103 Å³/f.u. The value obtained for the formation energy is -48 meV per atom. The calculation puts the density of states at the Fermi level at 0.889 states/eV/atom.

The space group is F-43m (No. 216) and the conventional cell measures 7.437, 7.437 and 7.437 Å, with angles of 90.00, 90.00 and 90.00 degrees. The asymmetric unit holds Th at (0.000, 0.000, 0.000), Mg at (0.250, 0.250, 0.750), Sc at (0.000, 0.000, 0.500) and Cd at (0.250, 0.250, 0.250).



No. 3
A geometry-optimized TmMgScCd structure. Source: Alexandria, functional PBE.

The calculation puts the uncorrected energy at -3.499 eV per atom. The spin magnetization comes out at 0.0 μB per cell. For the volume, the calculation gives 96 Å³/f.u. The value obtained for the formation energy is -171 meV per atom. The calculation puts the density of states at the Fermi level at 0.978 states/eV/atom.

The space group is F-43m (No. 216) and the conventional cell measures 7.276, 7.276 and 7.276 Å, with angles of 90.00, 90.00 and 90.00 degrees. The asymmetric unit holds Tm at (0.000, 0.000, 0.000), Mg at (0.250, 0.250, 0.250), Sc at (0.000, 0.000, 0.500) and Cd at (0.250, 0.250, 0.750).



No. 4
A geometry-optimized TmMgScCd structure. Source: Alexandria, functional PBE.

The calculation puts the uncorrected energy at -3.496 eV per atom. The spin magnetization comes out at 0.0 μB per cell. For the volume, the calculation gives 96 Å³/f.u. The value obtained for the formation energy is -168 meV per atom. The calculation puts the density of states at the Fermi level at 0.975 states/eV/atom.

The space group is Pmmm (No. 47) and the conventional cell measures 3.756, 5.065 and 5.070 Å, with angles of 90.00, 90.00 and 90.00 degrees. The asymmetric unit holds Tm at (0.000, 0.000, 0.000), Mg at (0.500, 0.500, 0.000), Sc at (0.000, 0.500, 0.500) and Cd at (0.500, 0.000, 0.500).



No. 5
A geometry-optimized YMgSc2Cd4 structure. Source: Alexandria, functional PBE.

The calculation puts the uncorrected energy at -3.313 eV per atom. The spin magnetization comes out at 0.0 μB per cell. For the volume, the calculation gives 184 Å³/f.u. The value obtained for the formation energy is -265 meV per atom. The calculation puts the density of states at the Fermi level at 0.733 states/eV/atom.

The space group is R-3m (No. 166, hexagonal axes) and the conventional cell measures 5.0418, 5.0418 and 25.0826 Å, with angles of 90.00, 90.00 and 120.00 degrees. The asymmetric unit holds Y at (0.0000, 0.0000, 0.0000), Mg at (0.0000, 0.0000, 0.5000), Sc at (0.0000, 0.0000, 0.2476), Cd at (0.0000, 0.0000, 0.1262) and Cd at (0.0000, 0.0000, 0.3783).



No. 6
A geometry-optimized Mg2Sc5Zn2Cd structure. Source: Alexandria, functional PBE.

The calculation puts the uncorrected energy at -3.935 eV per atom. The spin magnetization comes out at 0.0 μB per cell. For the volume, the calculation gives 226 Å³/f.u. The value obtained for the formation energy is -104 meV per atom. The calculation puts the density of states at the Fermi level at 1.063 states/eV/atom.

The space group is P4/mbm (No. 127) and the conventional cell measures 11.303, 11.303 and 3.545 Å, with angles of 90.00, 90.00 and 90.00 degrees. The asymmetric unit holds Mg at (0.178, 0.322, 0.000), Sc at (0.000, 0.500, 0.500), Sc at (0.060, 0.796, 0.500), Zn at (0.129, 0.629, 0.000) and Cd at (0.000, 0.000, 0.000).



No. 7
A geometry-optimized MgZr2ScCd structure. Source: Alexandria, functional PBE.

The calculation puts the uncorrected energy at -4.320 eV per atom. The spin magnetization comes out at 0.0 μB per cell. For the volume, the calculation gives 129 Å³/f.u. The value obtained for the formation energy is 867 meV per atom. The calculation puts the density of states at the Fermi level at 1.247 states/eV/atom.

The space group is P4/mmm (No. 123) and the conventional cell measures 5.127, 5.127 and 4.925 Å, with angles of 90.00, 90.00 and 90.00 degrees. The asymmetric unit holds Mg at (0.000, 0.000, 0.000), Zr at (0.000, 0.500, 0.000), Sc at (0.500, 0.500, 0.500) and Cd at (0.000, 0.000, 0.500).



No. 8
A geometry-optimized MgCd2Se structure. Source: Alexandria, functional PBE.

The calculation puts the uncorrected energy at -1.900 eV per atom. The spin magnetization comes out at 0.0 μB per cell. For the volume, the calculation gives 101 Å³/f.u. The calculation puts the density of states at the Fermi level at 0.330 states/eV/atom. The calculation puts the uncorrected formation energy at -0.172 eV per atom.

The space group is R-3m (No. 166, hexagonal axes) and the conventional cell measures 3.8992, 3.8992 and 22.9079 Å, with angles of 90.00, 90.00 and 120.00 degrees. The asymmetric unit holds Mg at (0.0000, 0.0000, 0.0000), Cd at (0.0000, 0.0000, 0.2419) and Se at (0.0000, 0.0000, 0.5000).



No. 9
A geometry-optimized MgCdSe2 structure. Source: Alexandria, functional PBE.

The calculation puts the uncorrected energy at -3.189 eV per atom. The spin magnetization comes out at 0.0 μB per cell. For the volume, the calculation gives 110 Å³/f.u. The calculation puts the density of states at the Fermi level at 0.000 states/eV/atom. The calculation puts the uncorrected formation energy at -0.819 eV per atom.

The space group is Pnma (No. 62) and the conventional cell measures 7.112, 4.022 and 15.404 Å, with angles of 90.00, 90.00 and 90.00 degrees. The asymmetric unit holds Mg at (0.177, 0.250, 0.053), Cd at (0.096, 0.250, 0.814), Se at (0.200, 0.750, 0.927) and Se at (0.224, 0.250, 0.655).



No. 10
A geometry-optimized MgCdSe2 structure. Source: Alexandria, functional PBE.

The calculation puts the uncorrected energy at -3.311 eV per atom. The spin magnetization comes out at 0.0 μB per cell. For the volume, the calculation gives 113 Å³/f.u. The calculation puts the density of states at the Fermi level at 0.000 states/eV/atom. The calculation puts the uncorrected formation energy at -0.942 eV per atom.

The space group is P2_1 (No. 4) and the conventional cell measures 4.323, 7.023 and 7.462 Å, with angles of 90.00, 90.03 and 90.00 degrees. The asymmetric unit holds Mg at (0.000, 0.000, 0.167), Cd at (0.499, 0.502, 0.331), Se at (0.000, 0.370, 0.159) and Se at (0.500, 0.385, 0.673).



No. 11
A geometry-optimized MgCdSe2 structure. Source: Alexandria, functional PBE.

The calculation puts the uncorrected energy at -2.903 eV per atom. The spin magnetization comes out at 0.0 μB per cell. For the volume, the calculation gives 114 Å³/f.u. The calculation puts the density of states at the Fermi level at 0.160 states/eV/atom. The calculation puts the uncorrected formation energy at -0.533 eV per atom.

The space group is C2/m (No. 12) and the conventional cell measures 7.678, 7.483 and 4.418 Å, with angles of 90.00, 115.86 and 90.00 degrees. The asymmetric unit holds Mg at (0.000, 0.000, 0.000), Cd at (0.000, 0.500, 0.000) and Se at (0.250, 0.250, 0.000).



No. 12
A geometry-optimized MgCdSe2 structure. Source: Alexandria, functional PBE.

The calculation puts the uncorrected energy at -3.214 eV per atom. The spin magnetization comes out at 0.0 μB per cell. For the volume, the calculation gives 89 Å³/f.u. The calculation puts the density of states at the Fermi level at 0.000 states/eV/atom. The calculation puts the uncorrected formation energy at -0.845 eV per atom.

The space group is R-3m (No. 166, hexagonal axes) and the conventional cell measures 3.9820, 3.9820 and 19.5165 Å, with angles of 90.00, 90.00 and 120.00 degrees. The asymmetric unit holds Mg at (0.0000, 0.0000, 0.0000), Cd at (0.0000, 0.0000, 0.5000) and Se at (0.0000, 0.0000, 0.2537).



No. 13
A geometry-optimized MgCd2Se structure. Source: Alexandria, functional PBE.

The calculation puts the uncorrected energy at -2.015 eV per atom. The spin magnetization comes out at 0.0 μB per cell. For the volume, the calculation gives 99 Å³/f.u. The calculation puts the density of states at the Fermi level at 0.188 states/eV/atom. The calculation puts the uncorrected formation energy at -0.287 eV per atom.

The space group is Cmmm (No. 65) and the conventional cell measures 5.602, 5.603 and 6.296 Å, with angles of 90.00, 90.00 and 90.00 degrees. The asymmetric unit holds Mg at (0.000, 0.000, 0.000), Cd at (0.000, 0.252, 0.500) and Se at (0.000, 0.500, 0.000).



No. 14
A geometry-optimized MgCdSe2 structure. Source: Alexandria, functional PBE.

The calculation puts the uncorrected energy at -2.946 eV per atom. The spin magnetization comes out at 0.0 μB per cell. For the volume, the calculation gives 107 Å³/f.u. The calculation puts the density of states at the Fermi level at 0.152 states/eV/atom. The calculation puts the uncorrected formation energy at -0.576 eV per atom.

The space group is P2/m (No. 10) and the conventional cell measures 4.283, 3.670 and 6.817 Å, with angles of 90.00, 90.06 and 90.00 degrees. The asymmetric unit holds Mg at (0.000, 0.000, 0.000), Cd at (0.000, 0.000, 0.500) and Se at (0.245, 0.500, 0.241).



No. 15
A geometry-optimized MgCdSe2 structure. Source: Alexandria, functional PBE.

The calculation puts the uncorrected energy at -3.202 eV per atom. The spin magnetization comes out at 0.0 μB per cell. For the volume, the calculation gives 105 Å³/f.u. The calculation puts the density of states at the Fermi level at 0.000 states/eV/atom. The calculation puts the uncorrected formation energy at -0.833 eV per atom.

The space group is P3m1 (No. 156) and the conventional cell measures 4.2218, 4.2218 and 6.8233 Å, with angles of 90.00, 90.00 and 120.00 degrees. The asymmetric unit holds Mg at (0.0000, 0.0000, 0.0000), Cd at (0.6667, 0.3333, 0.5353), Se at (0.0000, 0.0000, 0.3798) and Se at (0.3333, 0.6667, 0.8581).



No. 16
A geometry-optimized MgCdSe2 structure. Source: Alexandria, functional PBE.

The calculation puts the uncorrected energy at -2.966 eV per atom. The spin magnetization comes out at 0.0 μB per cell. For the volume, the calculation gives 89 Å³/f.u. The calculation puts the density of states at the Fermi level at 0.126 states/eV/atom. The calculation puts the uncorrected formation energy at -0.596 eV per atom.

The space group is I4/mcm (No. 140) and the conventional cell measures 7.217, 7.217 and 6.842 Å, with angles of 90.00, 90.00 and 90.00 degrees. The asymmetric unit holds Mg at (0.000, 0.500, 0.250), Cd at (0.000, 0.000, 0.250) and Se at (0.194, 0.306, 0.000).



No. 17
A geometry-optimized Mg2CdSe2 structure. Source: Alexandria, functional PBE.

The calculation puts the uncorrected energy at -2.782 eV per atom. The spin magnetization comes out at 0.0 μB per cell. For the volume, the calculation gives 109 Å³/f.u. The calculation puts the density of states at the Fermi level at 0.120 states/eV/atom. The calculation puts the uncorrected formation energy at -0.567 eV per atom.

The space group is P4/mbm (No. 127) and the conventional cell measures 7.801, 7.801 and 3.580 Å, with angles of 90.00, 90.00 and 90.00 degrees. The asymmetric unit holds Mg at (0.143, 0.357, 0.000), Cd at (0.000, 0.000, 0.000) and Se at (0.155, 0.655, 0.500).



No. 18
A geometry-optimized MgCdSe2 structure. Source: Alexandria, functional PBE.

The calculation puts the uncorrected energy at -2.736 eV per atom. The spin magnetization comes out at 0.0 μB per cell. For the volume, the calculation gives 86 Å³/f.u. The calculation puts the density of states at the Fermi level at 0.421 states/eV/atom. The calculation puts the uncorrected formation energy at -0.366 eV per atom.

The space group is P4/mmm (No. 123) and the conventional cell measures 3.519, 3.519 and 6.913 Å, with angles of 90.00, 90.00 and 90.00 degrees. The asymmetric unit holds Mg at (0.000, 0.000, 0.000), Cd at (0.000, 0.000, 0.500) and Se at (0.500, 0.500, 0.234).



No. 19
A geometry-optimized Mg3CdSe structure. Source: Alexandria, functional PBE.

The calculation puts the uncorrected energy at -1.639 eV per atom. The spin magnetization comes out at 0.0 μB per cell. For the volume, the calculation gives 142 Å³/f.u. The calculation puts the density of states at the Fermi level at 0.791 states/eV/atom. The calculation puts the uncorrected formation energy at 0.198 eV per atom.

The space group is Pm-3m (No. 221) and the conventional cell measures 5.217, 5.217 and 5.217 Å, with angles of 90.00, 90.00 and 90.00 degrees. The asymmetric unit holds Mg at (0.000, 0.000, 0.500), Cd at (0.000, 0.000, 0.000) and Se at (0.500, 0.500, 0.500).



No. 20
A geometry-optimized MgCd2Se structure. Source: Alexandria, functional PBE.

The calculation puts the uncorrected energy at -1.980 eV per atom. The spin magnetization comes out at 0.0 μB per cell. For the volume, the calculation gives 99 Å³/f.u. The calculation puts the density of states at the Fermi level at 0.000 states/eV/atom. The calculation puts the uncorrected formation energy at -0.253 eV per atom.

The space group is I-42d (No. 122) and the conventional cell measures 8.567, 8.567 and 5.420 Å, with angles of 90.00, 90.00 and 90.00 degrees. The asymmetric unit holds Mg at (0.000, 0.000, 0.000), Cd at (0.210, 0.250, 0.625) and Se at (0.000, 0.000, 0.500).